Material: La2Ga2Sn
Method: DFT, GGA-PBE
State: optimized geometry

Calculated values
formation energy: -3.29 eV per formula unit
ΔE to the lowest computed polymorph: 0.029 eV/atom
E: -4.641 eV/atom
total moment: 0.00 μB per atom

```
La2Ga2Sn
1.0
-0.634 -4.409 0.954
1.530 -3.636 -4.913
9.579 -2.994 3.411
La Ga Sn
4 4 2
Direct
0.708 0.236 0.347
0.900 0.293 0.908
0.292 0.764 0.653
0.100 0.707 0.092
0.991 0.407 0.611
0.625 0.858 0.891
0.009 0.593 0.389
0.375 0.142 0.109
0.578 0.167 0.677
0.422 0.833 0.323
```